## Pr6Nd2HoTm (PBE)

Data for an optimized crystal structure of Pr6Nd2HoTm.

For the calculated density, the calculation gives 6.931 Mg/m³. For the formation energy from the elements, the calculation gives 10.9 kJ per mole of atoms. The calculation puts the magnetization at 0.00 μB/f.u.

The space group is C2/c (No. 15) and the conventional cell measures 9.3037, 15.4954 and 9.8631 Å, with angles of 90.00, 98.40 and 90.00 degrees. The asymmetric unit holds Pr at (0.0612, 0.1821, 0.4460), Pr at (0.1026, 0.3951, 0.6179), Pr at (0.2085, 0.2199, 0.8088), Nd at (0.2460, 0.0494, 0.0434), Ho at (0.0000, 0.0215, 0.7500) and Tm at (0.0000, 0.4096, 0.2500).

---

## GdZrAl2 (PBE)

Data for an optimized crystal structure of GdZrAl2.

For the calculated density, the calculation gives 5.850 Mg/m³. The polymorph energy (0 for the lowest one) comes out at 50.5 meV/atom. For the formation energy from the elements, the calculation gives -29.6 kJ per mole of atoms. The calculation puts the magnetization at 7.66 μB/f.u.

The space group is P4/mmm (No. 123) and the conventional cell measures 4.5476, 4.5476 and 4.1515 Å, with angles of 90.00, 90.00 and 90.00 degrees. The asymmetric unit holds Gd at (0.0000, 0.0000, 0.0000), Zr at (0.5000, 0.5000, 0.0000) and Al at (0.0000, 0.5000, 0.5000).

---

## Tb2EuPu (PBE)

Data for an optimized crystal structure of Tb2EuPu.

For the calculated density, the calculation gives 9.132 Mg/m³. The polymorph energy (0 for the lowest one) comes out at 0.0 meV/atom. For the formation energy from the elements, the calculation gives 13.6 kJ per mole of atoms. The calculation puts the magnetization at 13.72 μB/f.u.

The space group is P4/mmm (No. 123) and the conventional cell measures 3.5390, 3.5390 and 10.3632 Å, with angles of 90.00, 90.00 and 90.00 degrees. The asymmetric unit holds Tb at (0.0000, 0.0000, 0.2277), Eu at (0.5000, 0.5000, 0.5000) and Pu at (0.5000, 0.5000, 0.0000).

---

Which of these has the highest magnetization? Tb2EuPu

---

Which of these has the lowest formation energy from the elements? GdZrAl2

---

Which value of formation energy from the elements does entry 3 give? 13.6 kJ per mole of atoms

---

calculated density of number 3 (Tb2EuPu)? 9.132 Mg/m³